(1)
First-principles (PBE) data for an optimized crystal structure of YOs7, as listed in Alexandria via LeMat-Bulk. Values from VASP.

## Properties
Symmetry: No. 225
DOS(E_F) in states/eV/cell: 8.1

The structure in Quantum ESPRESSO input format:
```
&SYSTEM
  ibrav = 0, nat = 8, ntyp = 2
/
ATOMIC_SPECIES
Y 88.91 Y.upf
Os 190.23 Os.upf
CELL_PARAMETERS angstrom
0.0000 3.9445 3.9445
3.9445 0.0000 3.9445
3.9445 3.9445 0.0000
ATOMIC_POSITIONS angstrom
Y 0.0000 0.0000 0.0000
Os 1.9723 1.9723 0.0000
Os 1.9723 0.0000 1.9723
Os 3.9445 1.9723 1.9723
Os 0.0000 1.9723 1.9723
Os 1.9723 3.9445 1.9723
Os 1.9723 1.9723 3.9445
Os 3.9445 3.9445 3.9445
```

=====

(2)
First-principles (PBE) data for an optimized crystal structure of YOs2, as listed in Alexandria via LeMat-Bulk. Values from VASP.

## Properties
Symmetry: No. 12
DOS(E_F) in states/eV/cell: 13.7

The structure in Quantum ESPRESSO input format:
```
&SYSTEM
  ibrav = 0, nat = 12, ntyp = 2
/
ATOMIC_SPECIES
Y 88.91 Y.upf
Os 190.23 Os.upf
CELL_PARAMETERS angstrom
10.2599 0.0000 0.0000
0.0000 2.8610 0.0000
-2.7039 0.0000 7.4117
ATOMIC_POSITIONS angstrom
Y 1.2580 0.0000 0.8981
Y 1.1680 1.4305 6.5137
Y 6.3879 1.4305 0.8981
Y 6.2980 0.0000 6.5137
Os -1.4750 1.4305 5.4656
Os 0.0316 0.0000 3.8053
Os 2.3945 1.4305 3.6064
Os 3.9010 0.0000 1.9462
Os 3.6550 0.0000 5.4656
Os 5.1615 1.4305 3.8053
Os 7.5244 0.0000 3.6064
Os 9.0310 1.4305 1.9462
```

=====

(3)
First-principles (PBE) data for an optimized crystal structure of YOs2, as listed in Alexandria via LeMat-Bulk. Values from VASP.

## Properties
Symmetry: No. 71
DOS(E_F) in states/eV/cell: 6.1

The structure in Quantum ESPRESSO input format:
```
&SYSTEM
  ibrav = 0, nat = 6, ntyp = 2
/
ATOMIC_SPECIES
Y 88.91 Y.upf
Os 190.23 Os.upf
CELL_PARAMETERS angstrom
2.8687 0.0000 0.0000
0.0000 3.8818 0.0000
0.0000 0.0000 10.2787
ATOMIC_POSITIONS angstrom
Y 0.0000 0.0000 0.0000
Y 1.4343 1.9409 5.1394
Os 0.0000 0.0000 3.0158
Os 0.0000 0.0000 7.2630
Os 1.4343 1.9409 2.1236
Os 1.4343 1.9409 8.1551
```

=====

(4)
First-principles (PBE) data for an optimized crystal structure of YOs, as listed in Alexandria via LeMat-Bulk. Values from VASP.

## Properties
Symmetry: No. 139
DOS(E_F) in states/eV/cell: 6.3

The structure in Quantum ESPRESSO input format:
```
&SYSTEM
  ibrav = 0, nat = 16, ntyp = 2
/
ATOMIC_SPECIES
Y 88.91 Y.upf
Os 190.23 Os.upf
CELL_PARAMETERS angstrom
10.1931 0.0000 0.0000
0.0000 10.1931 0.0000
0.0000 0.0000 4.3011
ATOMIC_POSITIONS angstrom
Y 0.0000 2.8941 0.0000
Y 0.0000 7.2990 0.0000
Y 2.2024 5.0966 2.1506
Y 2.8941 0.0000 0.0000
Y 5.0966 2.2024 2.1506
Y 5.0966 7.9907 2.1506
Y 7.2990 0.0000 0.0000
Y 7.9907 5.0966 2.1506
Os 2.1931 2.1931 2.1506
Os 2.1931 8.0000 2.1506
Os 2.9035 2.9035 0.0000
Os 2.9035 7.2896 0.0000
Os 7.2896 2.9035 0.0000
Os 7.2896 7.2896 0.0000
Os 8.0000 2.1931 2.1506
Os 8.0000 8.0000 2.1506
```

=====

(5)
First-principles (PBE) data for an optimized crystal structure of YOs, as listed in Alexandria via LeMat-Bulk. Values from VASP.

## Properties
Symmetry: No. 194
DOS(E_F) in states/eV/cell: 6.8

The structure in Quantum ESPRESSO input format:
```
&SYSTEM
  ibrav = 0, nat = 4, ntyp = 2
/
ATOMIC_SPECIES
Y 88.91 Y.upf
Os 190.23 Os.upf
CELL_PARAMETERS angstrom
4.8060 0.0000 0.0000
-2.4030 4.1621 0.0000
0.0000 0.0000 5.6824
ATOMIC_POSITIONS angstrom
Y 0.0000 2.7747 1.4206
Y 2.4030 1.3874 4.2618
Os 0.0000 2.7747 4.2618
Os 2.4030 1.3874 1.4206
```

=====

(6)
First-principles (PBE) data for an optimized crystal structure of Y5Os3, as listed in Alexandria via LeMat-Bulk. Values from VASP.

## Properties
Symmetry: No. 193
DOS(E_F) in states/eV/cell: 15.0

The structure in Quantum ESPRESSO input format:
```
&SYSTEM
  ibrav = 0, nat = 16, ntyp = 2
/
ATOMIC_SPECIES
Y 88.91 Y.upf
Os 190.23 Os.upf
CELL_PARAMETERS angstrom
8.2797 0.0000 0.0000
-4.1398 7.1704 0.0000
0.0000 0.0000 6.3076
ATOMIC_POSITIONS angstrom
Y -1.0815 1.8733 1.5769
Y -3.0583 5.2972 4.7307
Y 2.1630 0.0000 1.5769
Y 1.0815 1.8733 4.7307
Y 0.0000 4.7803 0.0000
Y 0.0000 4.7803 3.1538
Y 4.1399 2.3901 0.0000
Y 4.1399 2.3901 3.1538
Y 6.1167 0.0000 4.7307
Y 3.0583 5.2972 1.5769
Os -1.6264 2.8169 4.7307
Os -2.5135 4.3535 1.5769
Os 3.2527 0.0000 4.7307
Os 1.6264 2.8169 1.5769
Os 5.0270 0.0000 1.5769
Os 2.5135 4.3535 4.7307
```

=====

no.,electronic total energy (eV per atom)
1,-10.32
2,-9.43
3,-9.48
4,-8.68
5,-7.65
6,-8.39